[1]
The following is a PBE-GGA calculation of an optimized crystal structure of TeSI2N, from Alexandria.

It has space group P4/mmm (No. 123), with a = 6.5606 Å, b = 6.5606 Å, c = 3.3025 Å, α = 90.00°, β = 90.00° and γ = 90.00°. The asymmetric unit holds Te at (0.0000, 0.0000, 0.0000), S at (0.5000, 0.5000, 0.5000), I at (0.0000, 0.5000, 0.5000) and N at (0.5000, 0.5000, 0.0000).

[2]
The following is a PBE-GGA calculation of an optimized crystal structure of TeSI2N, from Alexandria.

It has space group P4/mmm (No. 123), with a = 6.2486 Å, b = 6.2486 Å, c = 3.9946 Å, α = 90.00°, β = 90.00° and γ = 90.00°. The asymmetric unit holds Te at (0.0000, 0.0000, 0.0000), S at (0.5000, 0.5000, 0.5000), I at (0.0000, 0.5000, 0.0000) and N at (0.0000, 0.0000, 0.5000).

[3]
The following is a PBE-GGA calculation of an optimized crystal structure of TiSIN2, from Alexandria.

It has space group P4/mmm (No. 123), with a = 3.8775 Å, b = 3.8775 Å, c = 6.4446 Å, α = 90.00°, β = 90.00° and γ = 90.00°. The asymmetric unit holds Ti at (0.0000, 0.0000, 0.0000), S at (0.5000, 0.5000, 0.5000), I at (0.0000, 0.0000, 0.5000) and N at (0.0000, 0.5000, 0.0000).

[4]
The following is a PBE-GGA calculation of an optimized crystal structure of TiSIN2, from Alexandria.

It has space group P4/mmm (No. 123), with a = 3.9768 Å, b = 3.9768 Å, c = 5.2597 Å, α = 90.00°, β = 90.00° and γ = 90.00°. The asymmetric unit holds Ti at (0.0000, 0.0000, 0.0000), S at (0.5000, 0.5000, 0.0000), I at (0.5000, 0.5000, 0.5000) and N at (0.0000, 0.5000, 0.5000).

Calculated energy relative to the elements, uncorrected (eV/atom), listed in the same order as above: 0.85 1.11 0.61 1.54